CuSiNiC | PBE-GGA | optimized geometry

Properties
Its uncorrected formation energy is 384 meV per atom. The calculation puts the energy above the most stable polymorph in this dataset at 0.1333 eV per atom.

Lattice parameters (Å, degrees): 2.7243 2.9925 6.1894 94.90 90.28 117.01
With the nearest neighbours (Å) after each atom.
Space group P1 (No. 1)
Symmetry-distinct sites (fractional):
Cu1 0.0000 0.0000 0.0000 [1 per cell]  3 Si 2.50-2.74, 3 Ni 2.53-2.56, 2 Cu 2.72
Si1 0.6084 0.2117 0.6812 [1 per cell]  3 C 1.86-1.91
Ni1 0.7233 0.4488 0.3103 [1 per cell]  2 C 1.97
C1 0.2819 0.5614 0.5398 [1 per cell]  3 Si 1.86-1.91, 2 Ni 1.97

=====

CuSiNiC | PBE-GGA | optimized geometry

Properties
Its uncorrected formation energy is 392 meV per atom. The calculation puts the energy above the most stable polymorph in this dataset at 0.1420 eV per atom.

Lattice parameters (Å, degrees): 2.6349 3.5093 8.9777 90.00 90.00 90.00
With the nearest neighbours (Å) after each atom.
Space group Amm2 (No. 38)
Symmetry-distinct sites (fractional):
Cu1 0.0000 0.0000 0.0000 [2 per cell]  4 C 2.21
Si1 0.5000 0.0000 0.6771 [2 per cell]  1 C 1.89
Ni1 0.0000 0.0000 0.3009 [2 per cell]  2 C 1.99
C1 0.5000 0.0000 0.4664 [2 per cell]  1 Si 1.89, 2 Ni 1.99

=====

CuSiNiC | PBE-GGA | optimized geometry

Properties
Its uncorrected formation energy is 255 meV per atom. The calculation puts the energy above the most stable polymorph in this dataset at 0.0050 eV per atom.

Lattice parameters (Å, degrees): 5.2983 3.0642 6.1384 90.00 106.38 90.00
With the nearest neighbours (Å) after each atom.
Space group Cm (No. 8)
Symmetry-distinct sites (fractional):
Cu1 0.0000 0.0000 0.0000 [2 per cell]  1 C 2.02
Si1 0.4754 0.0000 0.4135 [2 per cell]  3 C 1.82
Ni1 0.2352 0.0000 0.7031 [2 per cell]  1 C 2.12
C1 0.1188 0.0000 0.3429 [2 per cell]  3 Si 1.82, 1 Cu 2.02

=====

CuSiNiC | PBE-GGA | optimized geometry

Properties
Its uncorrected formation energy is 415 meV per atom. The calculation puts the energy above the most stable polymorph in this dataset at 0.1647 eV per atom.

Lattice parameters (Å, degrees): 3.9185 2.7293 4.0502 90.00 105.22 90.00
With the nearest neighbours (Å) after each atom.
Space group Pm (No. 6)
Symmetry-distinct sites (fractional):
Cu1 0.0000 0.0000 0.0000 [1 per cell]  2 C 2.05
Si1 0.3840 0.0000 0.6189 [1 per cell]  2 C 2.09-2.13
Ni1 0.8254 0.5000 0.4473 [1 per cell]  2 C 1.96
C1 0.5409 0.0000 0.1531 [1 per cell]  2 Ni 1.96, 2 Cu 2.05, 2 Si 2.09-2.13

=====

CuSiNiC | PBE-GGA | optimized geometry

Properties
Its uncorrected formation energy is 353 meV per atom. The calculation puts the energy above the most stable polymorph in this dataset at 0.1031 eV per atom.

Lattice parameters (Å, degrees): 2.7196 3.8919 4.8162 67.70 89.82 69.89
With the nearest neighbours (Å) after each atom.
Space group P1 (No. 1)
Symmetry-distinct sites (fractional):
Cu1 0.0000 0.0000 0.0000 [1 per cell]  3 C 2.05-2.12
Si1 0.8273 0.3444 0.3894 [1 per cell]  1 C 1.87
Ni1 0.1824 0.6339 0.6565 [1 per cell]  2 C 1.96
C1 0.7097 0.5775 0.9650 [1 per cell]  1 Si 1.87, 2 Ni 1.96, 1 Cu 2.05

=====

CuSiNiC | PBE-GGA | optimized geometry

Properties
Its uncorrected formation energy is 257 meV per atom. The calculation puts the energy above the most stable polymorph in this dataset at 0.0069 eV per atom.

Lattice parameters (Å, degrees): 3.1988 3.9422 3.9696 106.15 96.05 103.53
With the nearest neighbours (Å) after each atom.
Space group P1 (No. 1)
Symmetry-distinct sites (fractional):
Cu1 0.0000 0.0000 0.0000 [1 per cell]  2 C 2.01-2.09
Si1 0.3736 0.2531 0.6037 [1 per cell]  2 C 1.87-1.95
Ni1 0.0296 0.6189 0.3880 [1 per cell]  2 C 2.01-2.13
C1 0.9505 0.4595 0.8521 [1 per cell]  2 Si 1.87-1.95, 2 Cu 2.01-2.09, 1 Ni 2.01

=====

CuSiNiC | PBE-GGA | optimized geometry

Properties
Its uncorrected formation energy is 250 meV per atom. The calculation puts the energy above the most stable polymorph in this dataset at 0.0000 eV per atom.

Lattice parameters (Å, degrees): 3.0606 3.0637 6.1363 104.16 90.10 119.95
With the nearest neighbours (Å) after each atom.
Space group P1 (No. 1)
Symmetry-distinct sites (fractional):
Cu1 0.0000 0.0000 0.0000 [1 per cell]  1 C 2.02
Si1 0.8048 0.6156 0.4138 [1 per cell]  3 C 1.82
Ni1 0.2341 0.4697 0.7017 [1 per cell]  1 C 2.11
C1 0.1144 0.2353 0.3426 [1 per cell]  3 Si 1.82, 1 Cu 2.02

=====

Sr2CuNiC | PBE-GGA | optimized geometry

Properties
The calculation puts the energy above the most stable polymorph in this dataset at 0.9947 eV per atom. The calculated formation energy comes out at 1.044 eV/atom.

Lattice parameters (Å, degrees): 5.4622 5.4622 4.3754 90.00 90.00 90.00
With the nearest neighbours (Å) after each atom.
Space group P4/mmm (No. 123)
Symmetry-distinct sites (fractional):
Sr1 0.0000 0.5000 0.0000 [2 per cell]  2 Ni 2.73
Cu1 0.0000 0.0000 0.5000 [1 per cell]  2 Ni 2.19
Ni1 0.0000 0.0000 0.0000 [1 per cell]  2 Cu 2.19
C1 0.5000 0.5000 0.5000 [1 per cell]  8 Sr 3.50, 4 Cu 3.86

=====

Sr2CuNiC | PBE-GGA | optimized geometry

Properties
The calculation puts the energy above the most stable polymorph in this dataset at 0.0000 eV per atom. The calculated formation energy comes out at 0.050 eV/atom.

Lattice parameters (Å, degrees): 5.4689 5.4689 3.6328 90.00 90.00 90.00
With the nearest neighbours (Å) after each atom.
Space group P4/mmm (No. 123)
Symmetry-distinct sites (fractional):
Sr1 0.0000 0.5000 0.0000 [2 per cell]  2 C 2.73
Cu1 0.0000 0.0000 0.5000 [1 per cell]  8 Sr 3.28, 2 Cu 3.63
Ni1 0.5000 0.5000 0.5000 [1 per cell]  2 C 1.82
C1 0.5000 0.5000 0.0000 [1 per cell]  2 Ni 1.82

=====

CuNiWC2 | PBE-GGA | optimized geometry

Properties
The calculated formation energy comes out at 2.004 eV/atom.

Lattice parameters (Å, degrees): 3.6772 3.6772 4.2825 90.00 90.00 90.00
With the nearest neighbours (Å) after each atom.
Space group P4/mmm (No. 123)
Symmetry-distinct sites (fractional):
Cu1 0.0000 0.0000 0.0000 [1 per cell]  2 Ni 2.14
Ni1 0.0000 0.0000 0.5000 [1 per cell]  4 C 1.84
W1 0.5000 0.5000 0.0000 [1 per cell]  4 Cu 2.60, 8 C 2.82
C1 0.0000 0.5000 0.5000 [2 per cell]  2 Ni 1.84

=====

Y2CuNiC | PBE-GGA | optimized geometry

Properties
The calculated formation energy comes out at -0.299 eV/atom.

Lattice parameters (Å, degrees): 4.9485 4.9485 3.6476 90.00 90.00 90.00
With the nearest neighbours (Å) after each atom.
Space group P4/mmm (No. 123)
Symmetry-distinct sites (fractional):
Y1 0.0000 0.5000 0.0000 [2 per cell]  2 C 2.47
Cu1 0.0000 0.0000 0.5000 [1 per cell]  8 Y 3.07
Ni1 0.5000 0.5000 0.5000 [1 per cell]  2 C 1.82
C1 0.5000 0.5000 0.0000 [1 per cell]  2 Ni 1.82

=====

NpCuC | PBE-GGA | optimized geometry

Properties
The calculated formation energy comes out at 0.345 eV/atom.

Lattice parameters (Å, degrees): 4.0104 4.0104 20.3468 90.00 90.00 120.00
With the nearest neighbours (Å) after each atom.
Space group R-3m (No. 166, hexagonal axes)
Symmetry-distinct sites (fractional):
Np1 0.0000 0.0000 0.1012 [6 per cell]  4 C 2.29-2.35
Cu1 0.0000 0.0000 0.3178 [6 per cell]  1 C 2.12
C1 0.0000 0.0000 0.2136 [6 per cell]  1 Cu 2.12, 4 Np 2.29-2.35

=====

CuC2O4 | PBE-GGA | optimized geometry

Properties
Its uncorrected formation energy is -596 meV per atom.

Lattice parameters (Å, degrees): 3.1871 8.3351 7.5316 90.00 102.81 90.00
With the nearest neighbours (Å) after each atom.
Space group P2_1/c (No. 14)
Symmetry-distinct sites (fractional):
Cu1 0.0000 0.0000 0.0000 [2 per cell]  4 O 2.01-2.15
C1 0.3576 0.1362 0.6883 [4 per cell]  2 O 1.21-1.25
O1 0.0463 0.1970 0.5898 [4 per cell]  1 C 1.21
O2 0.4385 0.0510 0.8281 [4 per cell]  1 C 1.25

=====

CuC4O4 | PBE-GGA | optimized geometry

Properties
Its uncorrected formation energy is -496 meV per atom.

Lattice parameters (Å, degrees): 10.8253 9.0190 5.8374 90.00 115.50 90.00
With the nearest neighbours (Å) after each atom.
Space group C2/c (No. 15)
Symmetry-distinct sites (fractional):
Cu1 0.0000 0.0848 0.2500 [4 per cell]  4 O 1.98-1.99
C1 0.1899 0.2427 0.1004 [8 per cell]  1 O 1.25
C2 0.1932 0.1656 0.8795 [8 per cell]  1 O 1.26
O1 0.1205 0.2427 0.2259 [8 per cell]  1 C 1.25
O2 0.1276 0.0651 0.7236 [8 per cell]  1 C 1.26